(1)
CaPrEr: relaxed, PBE.

Structure (POSCAR):
```
CaPrEr
1.0
3.667 0.000 0.000
-1.834 3.176 0.000
0.000 0.000 9.155
Pr Ca Er
1 1 1
Cartesian
0.000 2.117 5.950
0.000 0.000 0.056
1.834 1.059 3.149
```

Properties
* size of the total moment: 0.000 μB/atom
* calculated formation energy: 0.055 eV per atom
* DFT total energy: -3.73 eV/atom
* energy above the lowest structure with this stoichiometry: 24.0 meV per atom

=====

(2)
CaPr5Er: relaxed, PBE.

Structure (POSCAR):
```
CaPr5Er
1.0
-5.643 -7.734 3.332
6.512 1.637 -0.593
4.079 1.981 11.507
Ca Pr Er
2 10 2
Cartesian
-1.782 -3.345 4.531
0.218 -2.409 10.308
3.215 0.820 1.685
-0.988 -4.674 7.763
3.182 -1.030 8.661
0.200 -0.628 3.360
2.117 -2.873 1.781
2.831 -1.244 12.465
-1.764 -5.126 11.478
1.766 -3.087 5.585
5.936 0.557 6.483
1.733 -4.936 12.561
0.000 0.000 0.000
2.040 0.990 5.753
```

Properties
* size of the total moment: 0.000 μB/atom
* calculated formation energy: 0.122 eV per atom
* DFT total energy: -4.23 eV/atom

=====

(3)
CaPr3Er: relaxed, PBE.

Structure (POSCAR):
```
CaPr3Er
1.0
-3.565 0.396 5.142
-5.878 -2.179 -0.086
0.718 -11.162 5.179
Ca Pr Er
2 6 2
Cartesian
-3.142 -0.610 1.691
-5.583 -12.337 8.545
-2.289 -9.045 4.274
-2.736 -8.097 7.637
-3.357 -3.304 4.358
-5.989 -4.849 2.599
-6.436 -3.900 5.962
-5.368 -9.641 5.878
-1.212 -5.886 3.435
-7.513 -7.060 6.801
```

Properties
* size of the total moment: 0.000 μB/atom
* calculated formation energy: 0.355 eV per atom
* DFT total energy: -3.83 eV/atom
* energy above the lowest structure with this stoichiometry: 203.5 meV per atom

=====

The highest DFT total energy belongs to which entry? CaPrEr

=====

Among the records above, which one has the highest calculated formation energy? CaPr3Er

=====

Look up the size of the total moment of the third one. 0.000 μB/atom